No. 1
A geometry-optimized LiCrPd5 structure. Source: the Alexandria database, functional PBE.

Properties
DOS(E_F)	11.57	states/eV/cell
ρ	9.17	g/cm³
formation enthalpy at 0 K	-0.082	eV per atom
space-group type	No. 63
ΔE to the lowest computed polymorph	0	meV per atom

a = 4.564 Å, b = 4.564 Å, c = 10.591 Å
α = 90.00°, β = 90.00°, γ = 75.96°
Fractional positions:
Li (0.134, 0.866, 0.750)
Li (0.866, 0.134, 0.250)
Cr (0.500, 0.500, 0.000)
Cr (0.500, 0.500, 0.500)
Pd (0.068, 0.341, 0.612)
Pd (0.068, 0.341, 0.888)
Pd (0.341, 0.068, 0.112)
Pd (0.341, 0.068, 0.388)
Pd (0.445, 0.555, 0.250)
Pd (0.555, 0.445, 0.750)
Pd (0.659, 0.932, 0.612)
Pd (0.659, 0.932, 0.888)
Pd (0.932, 0.659, 0.112)
Pd (0.932, 0.659, 0.388)

=====

No. 2
A geometry-optimized AlSnAs2Br structure. Source: the Alexandria database, functional PBE.

Properties
DOS(E_F)	4.59	states/eV/cell
ρ	4.99	g/cm³
E_form (uncorrected)	0.175	eV per atom
space-group type	No. 123
ΔE to the lowest computed polymorph	0	meV per atom

a = 4.927 Å, b = 4.927 Å, c = 5.143 Å
α = 90.00°, β = 90.00°, γ = 90.00°
Fractional positions:
Al (0.000, 0.000, 0.000)
Sn (0.500, 0.500, 0.500)
As (0.000, 0.500, 0.000)
As (0.500, 0.000, 0.000)
Br (0.000, 0.000, 0.500)